No. 1
This record from OQMD describes a relaxed SmC6N9 crystal. The functional is PBE.

Lattice parameters (Å, degrees): 6.8379 6.8379 9.9290 90.00 90.00 110.00
Fractional positions:
Sm (0.2131, 0.7869, 0.7500)
Sm (0.7869, 0.2131, 0.2500)
C (0.0585, 0.2302, 0.7500)
C (0.2126, 0.4974, 0.0492)
C (0.2126, 0.4974, 0.4508)
C (0.2302, 0.0585, 0.2500)
C (0.4974, 0.2126, 0.5492)
C (0.4974, 0.2126, 0.9508)
C (0.5026, 0.7874, 0.0492)
C (0.5026, 0.7874, 0.4508)
C (0.7698, 0.9415, 0.7500)
C (0.7874, 0.5026, 0.5492)
C (0.7874, 0.5026, 0.9508)
C (0.9415, 0.7698, 0.2500)
N (0.0291, 0.9709, 0.2500)
N (0.0842, 0.3512, 0.0954)
N (0.0842, 0.3512, 0.4046)
N (0.1487, 0.4106, 0.7500)
N (0.3428, 0.6572, 0.5120)
N (0.3428, 0.6572, 0.9880)
N (0.3512, 0.0842, 0.5954)
N (0.3512, 0.0842, 0.9046)
N (0.4106, 0.1487, 0.2500)
N (0.5894, 0.8513, 0.7500)
N (0.6488, 0.9158, 0.0954)
N (0.6488, 0.9158, 0.4046)
N (0.6572, 0.3428, 0.0120)
N (0.6572, 0.3428, 0.4880)
N (0.8513, 0.5894, 0.2500)
N (0.9158, 0.6488, 0.5954)
N (0.9158, 0.6488, 0.9046)
N (0.9709, 0.0291, 0.7500)

Properties
- VASP energy: -269.50 eV/cell
- Crystal system: orthorhombic
- Space group: Cmcm

No. 2
This record from OQMD describes a relaxed Pr2Ho2CI3Br2 crystal. The functional is PBE.

Lattice parameters (Å, degrees): 9.5951 9.5951 8.5817 102.66 102.66 23.73
Fractional positions:
Pr (0.1392, 0.1392, 0.0737)
Pr (0.8608, 0.8608, 0.9263)
Ho (0.4996, 0.4996, 0.1888)
Ho (0.5004, 0.5004, 0.8112)
C (0.0000, 0.0000, 0.0000)
I (0.0000, 0.0000, 0.5000)
I (0.3325, 0.3325, 0.1984)
I (0.6675, 0.6675, 0.8016)
Br (0.3469, 0.3469, 0.6599)
Br (0.6531, 0.6531, 0.3401)

Properties
- Crystal system: monoclinic
- Energy relative to the lowest polymorph listed for this composition: 4.8 meV per atom
- Space group: C2/m

No. 3
This record from OQMD describes a relaxed TbDyB2Pt2N2 crystal. The functional is PBE.

Lattice parameters (Å, degrees): 3.7412 3.7412 7.5837 90.00 90.00 90.00
Fractional positions:
Tb (0.0000, 0.0000, 0.0000)
Dy (0.5000, 0.5000, 0.3254)
B (0.0000, 0.0000, 0.4919)
B (0.5000, 0.5000, 0.8345)
Pt (0.0000, 0.5000, 0.6625)
Pt (0.5000, 0.0000, 0.6625)
N (0.0000, 0.0000, 0.3018)
N (0.5000, 0.5000, 0.0244)

Properties
- VASP energy: -60.56 eV/cell
- Crystal system: tetragonal
- Space group: P4mm

No. 4
This record from OQMD describes a relaxed HoReAsO crystal. The functional is PBE.

Lattice parameters (Å, degrees): 4.2893 4.2893 6.7961 90.00 90.00 90.00
Fractional positions:
Ho (0.2500, 0.7500, 0.0000)
Ho (0.7500, 0.2500, 0.0000)
Re (0.2500, 0.2500, 0.3642)
Re (0.7500, 0.7500, 0.6358)
As (0.2500, 0.2500, 0.7241)
As (0.7500, 0.7500, 0.2759)
O (0.2500, 0.7500, 0.5000)
O (0.7500, 0.2500, 0.5000)

Properties
- Crystal system: tetragonal
- Energy relative to the lowest polymorph listed for this composition: 1672.5 meV per atom
- Space group: P4/nmm

No. 5
This record from OQMD describes a relaxed Nb4GeC2S crystal. The functional is PBE.

Lattice parameters (Å, degrees): 3.2884 3.2884 12.1804 90.00 90.00 120.00
Fractional positions:
Nb (0.0000, 0.0000, 0.1472)
Nb (0.0000, 0.0000, 0.8528)
Nb (0.3333, 0.6667, 0.3352)
Nb (0.3333, 0.6667, 0.6648)
Ge (0.0000, 0.0000, 0.5000)
C (0.6667, 0.3333, 0.2422)
C (0.6667, 0.3333, 0.7578)
S (0.3333, 0.6667, 0.0000)

Properties
- VASP energy: -72.67 eV/cell
- Crystal system: hexagonal
- Space group: P-6m2

No. 6
This record from OQMD describes a relaxed GdSiHg crystal. The functional is PBE.

Lattice parameters (Å, degrees): 4.8757 4.8757 4.8757 60.00 60.00 60.00
Fractional positions:
Gd (0.0000, 0.0000, 0.0000)
Si (0.2500, 0.2500, 0.2500)
Hg (0.7500, 0.7500, 0.7500)

Properties
- Crystal system: cubic
- Energy relative to the lowest polymorph listed for this composition: 214.5 meV per atom
- Space group: F-43m

No. 7
This record from OQMD describes a relaxed TbScCo crystal. The functional is PBE.

Lattice parameters (Å, degrees): 4.4840 4.4840 4.4840 60.00 60.00 60.00
Fractional positions:
Tb (0.0000, 0.0000, 0.0000)
Sc (0.7500, 0.7500, 0.7500)
Co (0.5000, 0.5000, 0.5000)

Properties
- Calculated formation energy: 2.0 eV/f.u.
- Crystal system: cubic
- Space group: F-43m

No. 8
This record from OQMD describes a relaxed La2FeSi4Pt crystal. The functional is PBE.

Lattice parameters (Å, degrees): 4.0795 8.9347 8.9347 27.10 90.00 90.00
Fractional positions:
La (0.0000, 0.0000, 0.0000)
La (0.5000, 0.2046, 0.2046)
Fe (0.5000, 0.8531, 0.8531)
Si (0.0000, 0.6393, 0.6393)
Si (0.0000, 0.7826, 0.7826)
Si (0.5000, 0.4237, 0.4237)
Si (0.5000, 0.5666, 0.5666)
Pt (0.0000, 0.3515, 0.3515)

Properties
- VASP energy: -52.27 eV/cell
- Crystal system: orthorhombic
- Space group: Amm2